Entry 1:
Here is a geometry-optimized Ba6AsSe2Cl3 structure from Alexandria. Energies are from GGA-PBE.

Computed properties:
**ΔE_f (raw)**: -1.8744 eV/atom
**Magnetization**: 0.00 Bohr magnetons per cell
**Space group**: C2/m (12)

a b c (Å): 8.1180 8.1180 7.9832
angles (deg): 99.77 99.77 119.93
Fractional positions:
1 Ba 0.9207 0.5921 0.7623
2 Ba 0.7510 0.7510 0.2382
3 Ba 0.0793 0.4079 0.2377
4 Ba 0.5921 0.9207 0.7623
5 Ba 0.2490 0.2490 0.7618
6 Ba 0.4079 0.0793 0.2377
7 As 0.0000 0.0000 0.0000
8 Se 0.3335 0.6665 0.0000
9 Se 0.6665 0.3335 0.0000
10 Cl 0.1665 0.8335 0.5000
11 Cl 0.8335 0.1665 0.5000
12 Cl 0.5000 0.5000 0.5000

Entry 2:
Here is a geometry-optimized AcEr2Hg6 structure from Alexandria. Energies are from GGA-PBE.

Computed properties:
**VASP energy**: -0.150 Ry/atom
**Magnetization**: 0.00 Bohr magnetons per cell
**Space group**: C2/m (12)

a b c (Å): 3.8050 8.4663 8.7537
angles (deg): 118.92 102.76 90.00
Fractional positions:
1 Ac 0.0000 0.0000 0.0000
2 Er 0.8555 0.3576 0.7152
3 Er 0.1445 0.6424 0.2848
4 Hg 0.6782 0.3570 0.3549
5 Hg 0.3218 0.6430 0.6451
6 Hg 0.3218 0.0021 0.6451
7 Hg 0.5000 0.6695 0.0000
8 Hg 0.5000 0.3305 0.0000
9 Hg 0.6782 0.9979 0.3549